Below is crystalline LiHo3In at its relaxed geometry, with properties calculated at the PBE level.

Summary:
Its crystal system is orthorhombic. Its space group is Cmcm, No. 63. As for the formation energy: -186 meV/atom. Its distance to the lowest polymorph of the same formula is 0 meV per atom. Its density of states at the Fermi level is 10.9 states/eV/cell.

POSCAR file:
```
LiHo3In
1.0
2.541 -10.437 0.000
2.541 10.437 0.000
0.000 0.000 5.088
Li Ho In
2 6 2
Cartesian
2.541 7.215 3.816
2.541 -7.215 1.272
2.541 9.233 1.272
2.541 5.234 1.272
2.541 1.269 1.272
2.541 -1.269 3.816
2.541 -5.234 3.816
2.541 -9.233 3.816
2.541 3.293 3.816
2.541 -3.293 1.272
```

---

Below is crystalline Er3AlCo at its relaxed geometry, with properties calculated at the PBE level.

Summary:
Its crystal system is monoclinic. Its space group is C2/m, No. 12. As for the formation energy: -248 meV/atom. Its distance to the lowest polymorph of the same formula is 0 meV per atom. Its density of states at the Fermi level is 8.8 states/eV/cell.

POSCAR file:
```
Er3AlCo
1.0
4.861 -3.124 0.000
4.861 3.124 0.000
-3.882 0.000 7.713
Er Al Co
6 2 2
Cartesian
-0.650 0.000 1.785
0.286 0.000 5.240
2.547 0.000 0.984
3.292 0.000 6.729
5.553 0.000 2.473
6.490 0.000 5.929
2.920 1.287 3.857
2.920 -1.287 3.857
4.861 1.219 0.000
4.861 -1.219 0.000
```